Below is SiB3O after structural relaxation, with properties calculated at the PBE-GGA level.

polymorph energy (0 for the lowest one)	195	meV/atom
size of the total moment	0.00	μB per cell
uncorrected formation energy	1.7878	eV/atom

Unit cell a=3.9426 b=3.9426 c=3.9426 alpha=90.00 beta=90.00 gamma=90.00
Element x y z (fractional)
Si 0.0000 0.0000 0.0000
B 0.0000 0.0000 0.5000
B 0.0000 0.5000 0.0000
B 0.5000 0.0000 0.0000
O 0.5000 0.5000 0.5000

---

Below is KYN3 after structural relaxation, with properties calculated at the PBE-GGA level.

size of the total moment	5.00	μB per cell
uncorrected formation energy	0.8145	eV/atom

Unit cell a=4.6045 b=4.6045 c=4.6045 alpha=90.00 beta=90.00 gamma=90.00
Element x y z (fractional)
K 0.0000 0.0000 0.0000
Y 0.5000 0.5000 0.5000
N 0.0000 0.5000 0.5000
N 0.5000 0.0000 0.5000
N 0.5000 0.5000 0.0000

---

Below is V2PtI2 after structural relaxation, with properties calculated at the PBE-GGA level.

polymorph energy (0 for the lowest one)	212	meV/atom
size of the total moment	9.07	μB per cell
uncorrected formation energy	0.7601	eV/atom

Unit cell a=7.7435 b=7.7435 c=3.3717 alpha=90.00 beta=90.00 gamma=90.00
Element x y z (fractional)
V 0.1468 0.3532 0.0000
V 0.3532 0.8532 0.0000
V 0.6468 0.1468 0.0000
V 0.8532 0.6468 0.0000
Pt 0.0000 0.0000 0.5000
Pt 0.5000 0.5000 0.5000
I 0.1536 0.6536 0.5000
I 0.3464 0.1536 0.5000
I 0.6536 0.8464 0.5000
I 0.8464 0.3464 0.5000

---

Below is Ba2Li3Cu2 after structural relaxation, with properties calculated at the PBE-GGA level.

size of the total moment	0.00	μB per cell
formation energy from the elements	20	meV per atom

Unit cell a=6.4351 b=6.4351 c=7.4455 alpha=101.64 beta=101.64 gamma=41.79
Element x y z (fractional)
Ba 0.1642 0.1642 0.1977
Ba 0.8358 0.8358 0.8023
Li 0.0953 0.0953 0.6921
Li 0.5000 0.5000 0.5000
Li 0.9047 0.9047 0.3079
Cu 0.4499 0.4499 0.1329
Cu 0.5501 0.5501 0.8671

---

Below is TePb2Cl2 after structural relaxation, with properties calculated at the PBE-GGA level.

polymorph energy (0 for the lowest one)	0	meV/atom
size of the total moment	0.00	μB per cell
uncorrected formation energy	-0.8260	eV/atom

Unit cell a=4.5612 b=4.5612 c=9.3771 alpha=90.00 beta=90.00 gamma=120.00
Element x y z (fractional)
Te 0.0000 0.0000 0.0000
Pb 0.3333 0.6667 0.7916
Pb 0.6667 0.3333 0.2084
Cl 0.3333 0.6667 0.3512
Cl 0.6667 0.3333 0.6488

---

Below is Pm2Tm3Al4 after structural relaxation, with properties calculated at the PBE-GGA level.

size of the total moment	0.00	μB per cell
formation energy from the elements	-211	meV per atom

Unit cell a=10.0971 b=10.0971 c=7.7215 alpha=90.00 beta=90.00 gamma=143.80
Element x y z (fractional)
Pm 0.0888 0.9112 0.8977
Pm 0.4112 0.5888 0.3977
Pm 0.5888 0.4112 0.6023
Pm 0.9112 0.0888 0.1023
Tm 0.0000 0.0000 0.5000
Tm 0.0012 0.4988 0.7500
Tm 0.4988 0.0012 0.2500
Tm 0.5000 0.5000 0.0000
Tm 0.5012 0.9988 0.7500
Tm 0.9988 0.5012 0.2500
Al 0.1531 0.8469 0.5068
Al 0.1647 0.3353 0.7500
Al 0.3353 0.1647 0.2500
Al 0.3469 0.6531 0.0068
Al 0.6531 0.3469 0.9932
Al 0.6647 0.8353 0.7500
Al 0.8353 0.6647 0.2500
Al 0.8469 0.1531 0.4932

---

Below is HfTl3Ir after structural relaxation, with properties calculated at the PBE-GGA level.

polymorph energy (0 for the lowest one)	738	meV/atom
size of the total moment	1.07	μB per cell
formation energy from the elements	1550	meV per atom

Unit cell a=5.5107 b=5.5107 c=5.5107 alpha=90.00 beta=90.00 gamma=90.00
Element x y z (fractional)
Hf 0.0000 0.0000 0.0000
Tl 0.0000 0.0000 0.5000
Tl 0.0000 0.5000 0.0000
Tl 0.5000 0.0000 0.0000
Ir 0.5000 0.5000 0.5000

---

Below is PrNd7Dy12 after structural relaxation, with properties calculated at the PBE-GGA level.

polymorph energy (0 for the lowest one)	0	meV/atom
size of the total moment	0.00	μB per cell
formation energy from the elements	229	meV per atom

Unit cell a=8.8212 b=8.8212 c=8.8212 alpha=86.17 beta=86.17 gamma=86.17
Element x y z (fractional)
Pr 0.0000 0.0000 0.0000
Nd 0.0753 0.3982 0.1563
Nd 0.1563 0.0753 0.3982
Nd 0.3982 0.1563 0.0753
Nd 0.5000 0.5000 0.5000
Nd 0.6018 0.8437 0.9247
Nd 0.8437 0.9247 0.6018
Nd 0.9247 0.6018 0.8437
Dy 0.1327 0.6196 0.4954
Dy 0.1479 0.2762 0.7428
Dy 0.2572 0.8521 0.7238
Dy 0.2762 0.7428 0.1479
Dy 0.3804 0.5046 0.8673
Dy 0.4954 0.1327 0.6196
Dy 0.5046 0.8673 0.3804
Dy 0.6196 0.4954 0.1327
Dy 0.7238 0.2572 0.8521
Dy 0.7428 0.1479 0.2762
Dy 0.8521 0.7238 0.2572
Dy 0.8673 0.3804 0.5046

---

Below is MgCr2Br after structural relaxation, with properties calculated at the PBE-GGA level.

polymorph energy (0 for the lowest one)	484	meV/atom
size of the total moment	8.85	μB per cell
uncorrected formation energy	0.6670	eV/atom

Unit cell a=5.8189 b=5.8189 c=5.8189 alpha=139.24 beta=139.24 gamma=59.01
Element x y z (fractional)
Mg 0.0000 0.0000 0.0000
Cr 0.5000 0.5000 0.0000
Cr 0.7500 0.2500 0.5000
Br 0.2500 0.7500 0.5000

---

Below is ZnAg2N after structural relaxation, with properties calculated at the PBE-GGA level.

polymorph energy (0 for the lowest one)	30	meV/atom
size of the total moment	0.12	μB per cell
uncorrected formation energy	0.9346	eV/atom

Unit cell a=4.3382 b=4.3382 c=4.3382 alpha=60.00 beta=60.00 gamma=60.00
Element x y z (fractional)
Zn 0.0000 0.0000 0.0000
Ag 0.2500 0.2500 0.2500
Ag 0.7500 0.7500 0.7500
N 0.5000 0.5000 0.5000

---

Below is TlPt2Au2 after structural relaxation, with properties calculated at the PBE-GGA level.

polymorph energy (0 for the lowest one)	0	meV/atom
size of the total moment	0.00	μB per cell
formation energy from the elements	45	meV per atom

Unit cell a=7.1119 b=7.1119 c=3.8127 alpha=90.00 beta=90.00 gamma=90.00
Element x y z (fractional)
Tl 0.0000 0.0000 0.0000
Tl 0.5000 0.5000 0.0000
Pt 0.1355 0.3645 0.0000
Pt 0.3645 0.8645 0.0000
Pt 0.6355 0.1355 0.0000
Pt 0.8645 0.6355 0.0000
Au 0.1616 0.6616 0.5000
Au 0.3384 0.1616 0.5000
Au 0.6616 0.8384 0.5000
Au 0.8384 0.3384 0.5000

---

Below is Pm5Ge2Pt2 after structural relaxation, with properties calculated at the PBE-GGA level.

polymorph energy (0 for the lowest one)	0	meV/atom
size of the total moment	0.00	μB per cell
formation energy from the elements	-889	meV per atom

Unit cell a=8.6148 b=8.6148 c=7.7828 alpha=90.00 beta=90.00 gamma=53.44
Element x y z (fractional)
Pm 0.0000 0.0000 0.0000
Pm 0.0323 0.6838 0.6654
Pm 0.1838 0.5323 0.1654
Pm 0.3162 0.9677 0.6654
Pm 0.4677 0.8162 0.1654
Pm 0.5000 0.5000 0.5000
Pm 0.5323 0.1838 0.8346
Pm 0.6838 0.0323 0.3346
Pm 0.8162 0.4677 0.8346
Pm 0.9677 0.3162 0.3346
Ge 0.1223 0.8777 0.3767
Ge 0.3777 0.6223 0.8767
Ge 0.6223 0.3777 0.1233
Ge 0.8777 0.1223 0.6233
Pt 0.2004 0.2004 0.0000
Pt 0.2996 0.2996 0.5000
Pt 0.7004 0.7004 0.5000
Pt 0.7996 0.7996 0.0000